[1]
VASP calculation (PBE) on a geometry-optimized Lu3Cd structure.

Spin magnetization in μB/cell: 0.00
Space group: Immm, No. 71
Electronic total energy in eV/atom: -3.75

Geometry as CIF:
```
data_Lu3Cd
_chemical_formula_sum 'Lu3 Cd1'
_symmetry_space_group_name_H-M 'P 1'
_symmetry_Int_Tables_number 1
_cell_length_a 3.724
_cell_length_b 5.246
_cell_length_c 6.416
_cell_angle_alpha 114.13
_cell_angle_beta 106.87
_cell_angle_gamma 90.00
loop_
_symmetry_equiv_pos_as_xyz
'x,y,z'
loop_
_atom_site_label
_atom_site_fract_x
_atom_site_fract_y
_atom_site_fract_z
_atom_site_occupancy
Lu1 0.275 0.691 0.550 1
Lu2 0.500 0.417 0.000 1
Lu3 0.725 0.141 0.450 1
Cd1 0.000 0.917 0.000 1
```

=====

[2]
VASP calculation (PBE) on a geometry-optimized BaNi4Se structure.

Spin magnetization in μB/cell: 2.24
Space group: F-43m, No. 216
Electronic total energy in eV/atom: -4.53
Formation energy from raw total energies in eV/atom: 0.221

Geometry as CIF:
```
data_BaNi4Se
_chemical_formula_sum 'Ba1 Ni4 Se1'
_symmetry_space_group_name_H-M 'P 1'
_symmetry_Int_Tables_number 1
_cell_length_a 5.205
_cell_length_b 5.205
_cell_length_c 5.205
_cell_angle_alpha 60.00
_cell_angle_beta 60.00
_cell_angle_gamma 60.00
loop_
_symmetry_equiv_pos_as_xyz
'x,y,z'
loop_
_atom_site_label
_atom_site_fract_x
_atom_site_fract_y
_atom_site_fract_z
_atom_site_occupancy
Ba1 0.000 0.000 0.000 1
Ni1 0.873 0.376 0.376 1
Ni2 0.376 0.376 0.873 1
Ni3 0.376 0.873 0.376 1
Ni4 0.376 0.376 0.376 1
Se1 0.750 0.750 0.750 1
```

=====

[3]
VASP calculation (PBE) on a geometry-optimized LaZnS3 structure.

Spin magnetization in μB/cell: 0.00
Space group: Pm-3m, No. 221
Electronic total energy in eV/atom: -4.66
Formation energy from raw total energies in eV/atom: -0.941

Geometry as CIF:
```
data_LaZnS3
_chemical_formula_sum 'La1 Zn1 S3'
_symmetry_space_group_name_H-M 'P 1'
_symmetry_Int_Tables_number 1
_cell_length_a 4.697
_cell_length_b 4.697
_cell_length_c 4.697
_cell_angle_alpha 90.00
_cell_angle_beta 90.00
_cell_angle_gamma 90.00
loop_
_symmetry_equiv_pos_as_xyz
'x,y,z'
loop_
_atom_site_label
_atom_site_fract_x
_atom_site_fract_y
_atom_site_fract_z
_atom_site_occupancy
Zn1 0.000 0.000 0.000 1
S1 0.000 0.500 0.000 1
S2 0.000 0.000 0.500 1
S3 0.500 0.000 0.000 1
La1 0.500 0.500 0.500 1
```

=====

[4]
VASP calculation (PBE) on a geometry-optimized Mn3AlH structure.

Spin magnetization in μB/cell: 0.00
Space group: P4mm, No. 99
Electronic total energy in eV/atom: -6.31

Geometry as CIF:
```
data_Mn3AlH
_chemical_formula_sum 'Mn3 Al1 H1'
_symmetry_space_group_name_H-M 'P 1'
_symmetry_Int_Tables_number 1
_cell_length_a 3.515
_cell_length_b 3.515
_cell_length_c 5.747
_cell_angle_alpha 90.00
_cell_angle_beta 90.00
_cell_angle_gamma 90.00
loop_
_symmetry_equiv_pos_as_xyz
'x,y,z'
loop_
_atom_site_label
_atom_site_fract_x
_atom_site_fract_y
_atom_site_fract_z
_atom_site_occupancy
H1 0.500 0.500 0.390 1
Mn1 0.000 0.000 0.719 1
Mn2 0.500 0.000 0.496 1
Mn3 0.000 0.500 0.496 1
Al1 0.000 0.000 0.163 1
```

=====

[5]
VASP calculation (PBE) on a geometry-optimized K2MgI4 structure.

Spin magnetization in μB/cell: 0.00
Space group: P2_1/m, No. 11
Electronic total energy in eV/atom: -2.71
Formation energy from raw total energies in eV/atom: -1.286

Geometry as CIF:
```
data_K2MgI4
_chemical_formula_sum 'K4 Mg2 I8'
_symmetry_space_group_name_H-M 'P 1'
_symmetry_Int_Tables_number 1
_cell_length_a 8.229
_cell_length_b 8.310
_cell_length_c 9.778
_cell_angle_alpha 90.00
_cell_angle_beta 107.67
_cell_angle_gamma 90.00
loop_
_symmetry_equiv_pos_as_xyz
'x,y,z'
loop_
_atom_site_label
_atom_site_fract_x
_atom_site_fract_y
_atom_site_fract_z
_atom_site_occupancy
K1 0.720 0.750 0.057 1
K2 0.280 0.250 0.943 1
K3 0.251 0.250 0.440 1
K4 0.749 0.750 0.560 1
Mg1 0.260 0.750 0.193 1
Mg2 0.740 0.250 0.807 1
I1 0.490 0.498 0.253 1
I2 0.071 0.750 0.911 1
I3 0.929 0.250 0.089 1
I4 0.490 0.002 0.253 1
I5 0.931 0.250 0.622 1
I6 0.510 0.998 0.747 1
I7 0.510 0.502 0.747 1
I8 0.069 0.750 0.378 1
```

=====

[6]
VASP calculation (PBE) on a geometry-optimized Tb6BiAs4 structure.

Spin magnetization in μB/cell: 0.59
Space group: Cmcm, No. 63
Electronic total energy in eV/atom: -5.87

Geometry as CIF:
```
data_Tb6BiAs4
_chemical_formula_sum 'Tb12 Bi2 As8'
_symmetry_space_group_name_H-M 'P 1'
_symmetry_Int_Tables_number 1
_cell_length_a 4.188
_cell_length_b 7.115
_cell_length_c 20.963
_cell_angle_alpha 90.00
_cell_angle_beta 90.00
_cell_angle_gamma 107.12
loop_
_symmetry_equiv_pos_as_xyz
'x,y,z'
loop_
_atom_site_label
_atom_site_fract_x
_atom_site_fract_y
_atom_site_fract_z
_atom_site_occupancy
Tb1 0.500 0.000 0.000 1
Tb2 0.500 0.000 0.500 1
Tb3 0.038 0.077 0.340 1
Tb4 0.962 0.923 0.660 1
Tb5 0.962 0.923 0.840 1
Tb6 0.038 0.077 0.160 1
Tb7 0.772 0.544 0.418 1
Tb8 0.228 0.456 0.582 1
Tb9 0.228 0.456 0.918 1
Tb10 0.772 0.544 0.082 1
Tb11 0.336 0.672 0.250 1
Tb12 0.664 0.328 0.750 1
Bi1 0.663 0.325 0.250 1
Bi2 0.337 0.675 0.750 1
As1 0.863 0.727 0.542 1
As2 0.406 0.813 0.124 1
As3 0.137 0.273 0.458 1
As4 0.594 0.187 0.876 1
As5 0.863 0.727 0.958 1
As6 0.137 0.273 0.042 1
As7 0.594 0.187 0.624 1
As8 0.406 0.813 0.376 1
```

=====

[7]
VASP calculation (PBE) on a geometry-optimized TaIrRhO6 structure.

Spin magnetization in μB/cell: 1.19
Space group: P4_2nm, No. 102
Electronic total energy in eV/atom: -7.93
Formation energy from raw total energies in eV/atom: -1.506

Geometry as CIF:
```
data_TaIrRhO6
_chemical_formula_sum 'Ta2 Ir2 Rh2 O12'
_symmetry_space_group_name_H-M 'P 1'
_symmetry_Int_Tables_number 1
_cell_length_a 4.707
_cell_length_b 4.707
_cell_length_c 9.262
_cell_angle_alpha 90.00
_cell_angle_beta 90.00
_cell_angle_gamma 90.00
loop_
_symmetry_equiv_pos_as_xyz
'x,y,z'
loop_
_atom_site_label
_atom_site_fract_x
_atom_site_fract_y
_atom_site_fract_z
_atom_site_occupancy
Ta1 0.500 0.500 0.835 1
Ta2 0.000 0.000 0.335 1
Ir1 0.500 0.500 0.503 1
Ir2 0.000 0.000 0.003 1
Rh1 0.500 0.500 0.164 1
Rh2 0.000 0.000 0.664 1
O1 0.202 0.798 0.493 1
O2 0.798 0.202 0.493 1
O3 0.298 0.298 0.993 1
O4 0.702 0.702 0.993 1
O5 0.196 0.804 0.172 1
O6 0.804 0.196 0.172 1
O7 0.304 0.304 0.672 1
O8 0.696 0.696 0.672 1
O9 0.805 0.195 0.835 1
O10 0.195 0.805 0.835 1
O11 0.695 0.695 0.335 1
O12 0.305 0.305 0.335 1
```

=====

[8]
VASP calculation (PBE) on a geometry-optimized Mg3In4Pb2 structure.

Spin magnetization in μB/cell: 0.00
Space group: C2/m, No. 12
Electronic total energy in eV/atom: -2.60

Geometry as CIF:
```
data_Mg3In4Pb2
_chemical_formula_sum 'Mg3 In4 Pb2'
_symmetry_space_group_name_H-M 'P 1'
_symmetry_Int_Tables_number 1
_cell_length_a 4.487
_cell_length_b 7.361
_cell_length_c 7.798
_cell_angle_alpha 107.45
_cell_angle_beta 106.72
_cell_angle_gamma 90.00
loop_
_symmetry_equiv_pos_as_xyz
'x,y,z'
loop_
_atom_site_label
_atom_site_fract_x
_atom_site_fract_y
_atom_site_fract_z
_atom_site_occupancy
Mg1 0.890 0.342 0.780 1
Mg2 0.110 0.658 0.220 1
Mg3 0.000 0.000 0.000 1
In1 0.781 0.660 0.561 1
In2 0.219 0.340 0.439 1
In3 0.449 0.663 0.898 1
In4 0.551 0.337 0.102 1
Pb1 0.659 0.995 0.319 1
Pb2 0.341 0.005 0.681 1
```

=====

[9]
VASP calculation (PBE) on a geometry-optimized Be2SiAu structure.

Spin magnetization in μB/cell: 0.00
Space group: P4/mmm, No. 123
Electronic total energy in eV/atom: -3.89
Formation energy from raw total energies in eV/atom: 0.151

Geometry as CIF:
```
data_Be2SiAu
_chemical_formula_sum 'Be2 Si1 Au1'
_symmetry_space_group_name_H-M 'P 1'
_symmetry_Int_Tables_number 1
_cell_length_a 3.141
_cell_length_b 3.141
_cell_length_c 5.051
_cell_angle_alpha 90.00
_cell_angle_beta 90.00
_cell_angle_gamma 90.00
loop_
_symmetry_equiv_pos_as_xyz
'x,y,z'
loop_
_atom_site_label
_atom_site_fract_x
_atom_site_fract_y
_atom_site_fract_z
_atom_site_occupancy
Be1 0.000 0.000 0.026 1
Be2 0.000 0.000 0.474 1
Si1 0.500 0.500 0.250 1
Au1 0.500 0.500 0.750 1
```

=====

[10]
VASP calculation (PBE) on a geometry-optimized Tc2AgRu structure.

Spin magnetization in μB/cell: 0.00
Space group: Pmmm, No. 47
Electronic total energy in eV/atom: -7.87

Geometry as CIF:
```
data_Tc2AgRu
_chemical_formula_sum 'Tc2 Ag1 Ru1'
_symmetry_space_group_name_H-M 'P 1'
_symmetry_Int_Tables_number 1
_cell_length_a 2.740
_cell_length_b 3.992
_cell_length_c 5.532
_cell_angle_alpha 90.00
_cell_angle_beta 90.00
_cell_angle_gamma 90.00
loop_
_symmetry_equiv_pos_as_xyz
'x,y,z'
loop_
_atom_site_label
_atom_site_fract_x
_atom_site_fract_y
_atom_site_fract_z
_atom_site_occupancy
Ag1 0.500 0.500 0.250 1
Ru1 0.500 0.500 0.750 1
Tc1 0.000 0.000 0.973 1
Tc2 0.000 0.000 0.527 1
```

=====

[11]
VASP calculation (PBE) on a geometry-optimized RbNd4Hg5 structure.

Spin magnetization in μB/cell: 1.26
Space group: P4/mmm, No. 123
Electronic total energy in eV/atom: -2.56

Geometry as CIF:
```
data_RbNd4Hg5
_chemical_formula_sum 'Rb1 Nd4 Hg5'
_symmetry_space_group_name_H-M 'P 1'
_symmetry_Int_Tables_number 1
_cell_length_a 3.866
_cell_length_b 3.866
_cell_length_c 20.360
_cell_angle_alpha 90.00
_cell_angle_beta 90.00
_cell_angle_gamma 90.00
loop_
_symmetry_equiv_pos_as_xyz
'x,y,z'
loop_
_atom_site_label
_atom_site_fract_x
_atom_site_fract_y
_atom_site_fract_z
_atom_site_occupancy
Rb1 0.000 0.000 0.000 1
Nd1 0.000 0.000 0.219 1
Nd2 0.000 0.000 0.407 1
Nd3 0.000 0.000 0.593 1
Nd4 0.000 0.000 0.781 1
Hg1 0.500 0.500 0.132 1
Hg2 0.500 0.500 0.313 1
Hg3 0.500 0.500 0.500 1
Hg4 0.500 0.500 0.687 1
Hg5 0.500 0.500 0.868 1
```

=====

[12]
VASP calculation (PBE) on a geometry-optimized BiBIr2 structure.

Spin magnetization in μB/cell: 0.90
Space group: Fm-3m, No. 225
Electronic total energy in eV/atom: -5.96

Geometry as CIF:
```
data_BiBIr2
_chemical_formula_sum 'Bi1 B1 Ir2'
_symmetry_space_group_name_H-M 'P 1'
_symmetry_Int_Tables_number 1
_cell_length_a 4.467
_cell_length_b 4.467
_cell_length_c 4.467
_cell_angle_alpha 60.00
_cell_angle_beta 60.00
_cell_angle_gamma 60.00
loop_
_symmetry_equiv_pos_as_xyz
'x,y,z'
loop_
_atom_site_label
_atom_site_fract_x
_atom_site_fract_y
_atom_site_fract_z
_atom_site_occupancy
B1 0.000 0.000 0.000 1
Ir1 0.250 0.250 0.250 1
Ir2 0.750 0.750 0.750 1
Bi1 0.500 0.500 0.500 1
```